DFT (PBE) results for a relaxed BeHgAs2W crystal.

Structure (POSCAR):
```
BeHgAs2W
1.0
-1.1351 -3.9985 2.8988
4.8669 -1.9707 -0.8125
1.6867 2.4817 4.0836
Be As Hg W
1 2 1 1
Direct
0.5000 0.5000 0.5000 Be
0.0000 0.0000 0.5000 As
0.5000 0.0000 0.0000 As
0.0000 0.0000 0.0000 Hg
0.0000 0.5000 0.0000 W
```

Properties
symmetry: No. 123
DFT formation energy: 2243 meV per atom
total moment: 2.84 μB per cell